# 1
Mn2CrSb meta-GGA SCAN PBEsol geometry; space group = No. 123; uncorrected energy = -22.704 eV/atom
1.0
-2.744 -1.060 -0.441
0.807 -0.967 -2.694
1.594 -5.084 2.303
Mn Sb Cr
2 1 1
direct
0.000 0.000 0.266
0.000 0.000 0.734
0.500 0.500 0.000
0.500 0.500 0.500

=====

# 2
HgSe2F meta-GGA SCAN PBEsol geometry; space group = No. 122; uncorrected energy = -28.256 eV/atom
1.0
3.780 0.000 0.000
0.000 3.780 0.000
-1.890 -1.890 10.411
Hg Se F
2 4 2
direct
0.000 0.000 0.000
0.250 0.750 0.500
0.374 0.875 0.250
0.876 0.375 0.250
0.125 0.124 0.750
0.625 0.626 0.750
0.750 0.250 0.500
0.500 0.500 0.000

=====

# 3
MgSc5 meta-GGA SCAN PBEsol geometry; relative energy among the computed polymorphs = 0.218 kcal/mol of atoms; space group = No. 38
1.0
3.248 0.000 0.000
0.000 5.130 0.000
-1.624 0.000 8.450
Sc Mg
5 1
direct
0.112 0.500 0.223
0.667 0.000 0.334
0.777 0.500 0.554
0.330 0.000 0.660
0.446 0.500 0.892
0.001 0.000 0.003

=====

# 4
MgCo2Si meta-GGA SCAN PBEsol geometry; space group = No. 8; uncorrected energy = -12.451 eV/atom
1.0
-2.087 1.314 1.172
0.034 -2.710 3.098
3.714 2.672 0.437
Co Mg Si
2 1 1
direct
0.996 0.939 0.993
0.740 0.292 0.481
0.496 0.449 0.991
0.268 0.820 0.535

=====

# 5
MoIrRu2 meta-GGA SCAN PBEsol geometry; relative energy among the computed polymorphs = 3.618 kcal/mol of atoms; space group = No. 8
1.0
2.705 0.000 0.000
0.000 4.674 0.003
-1.352 -0.800 4.417
Mo Ru Ir
1 2 1
direct
0.750 0.250 0.500
0.251 0.757 0.502
0.998 0.992 0.996
0.501 0.500 0.001

=====

# 6
CoRh meta-GGA SCAN PBEsol geometry; space group = No. 51; uncorrected energy = -25.512 eV/atom
1.0
-0.106 -1.193 -2.325
4.127 0.102 -0.241
0.216 -3.961 2.022
Co Rh
2 2
direct
0.000 0.750 0.663
0.000 0.250 0.337
0.500 0.250 0.824
0.500 0.750 0.176

=====

# 7
MnGaReC2 meta-GGA SCAN PBEsol geometry; space group = No. 123; uncorrected energy = -22.593 eV/atom
1.0
3.809 0.000 0.000
0.000 3.809 0.000
0.000 0.000 4.533
C Re Ga Mn
2 1 1 1
direct
0.000 0.500 0.000
0.500 0.000 0.000
0.500 0.500 0.500
0.000 0.000 0.000
0.000 0.000 0.500

=====

# 8
Tl3IrC meta-GGA SCAN PBEsol geometry; space group = No. 221; uncorrected energy = -58.419 eV/atom
1.0
5.201 0.000 0.000
0.000 5.201 0.000
0.000 0.000 5.201
Tl C Ir
3 1 1
direct
0.000 0.000 0.500
0.500 0.000 0.000
0.000 0.500 0.000
0.500 0.500 0.500
0.000 0.000 0.000